{
  "formula": "Ca6OsO12",
  "functional": "PBE",
  "state": "relaxed",
  "vol_a3_per_cell": 271.6,
  "total_energy_ev_per_atom": -6.36,
  "dos_ef_per_ev_cell": 8.6,
  "lattice_angstrom": [[4.9718, 2.8705, 3.1720], [-4.9718, 2.8705, 3.1720], [0.0000, -5.7410, 3.1720]],
  "species": ["Ca", "Ca", "Ca", "Ca", "Ca", "Ca", "Os", "O", "O", "O", "O", "O", "O", "O", "O", "O", "O", "O", "O"],
  "frac_coords": [[0.1125, 0.7897, 0.6508], [0.2103, 0.3492, 0.8875], [0.3492, 0.8875, 0.2103], [0.6508, 0.1125, 0.7897], [0.7897, 0.6508, 0.1125], [0.8875, 0.2103, 0.3492], [0.5000, 0.5000, 0.5000], [0.0472, 0.9179, 0.3415], [0.0821, 0.6585, 0.9528], [0.2146, 0.4375, 0.5165], [0.3415, 0.0472, 0.9179], [0.4375, 0.5165, 0.2146], [0.4835, 0.7854, 0.5625], [0.5165, 0.2146, 0.4375], [0.5625, 0.4835, 0.7854], [0.6585, 0.9528, 0.0821], [0.7854, 0.5625, 0.4835], [0.9179, 0.3415, 0.0472], [0.9528, 0.0821, 0.6585]]
}

{
  "formula": "CaOs3O9",
  "functional": "PBE",
  "state": "relaxed",
  "vol_a3_per_cell": 324.4,
  "total_energy_ev_per_atom": -7.52,
  "dos_ef_per_ev_cell": 11.5,
  "lattice_angstrom": [[5.3488, 0.0000, 0.0000], [0.0000, 7.4348, 0.0000], [-0.5098, 0.0000, 8.1566]],
  "species": ["Ca", "Ca", "Os", "Os", "Os", "Os", "Os", "Os", "O", "O", "O", "O", "O", "O", "O", "O", "O", "O", "O", "O", "O", "O", "O", "O", "O", "O"],
  "frac_coords": [[0.0274, 0.2500, 0.4271], [0.9726, 0.7500, 0.5729], [0.0000, 0.0000, 0.0000], [0.0000, 0.5000, 0.0000], [0.4644, 0.0026, 0.6926], [0.4644, 0.4974, 0.6926], [0.5356, 0.5026, 0.3074], [0.5356, 0.9974, 0.3074], [0.0578, 0.2500, 0.9780], [0.1554, 0.5581, 0.7894], [0.1554, 0.9419, 0.7894], [0.2703, 0.5296, 0.4769], [0.2703, 0.9704, 0.4769], [0.3063, 0.5250, 0.1228], [0.3063, 0.9750, 0.1228], [0.4066, 0.2500, 0.6886], [0.4439, 0.2500, 0.3151], [0.5561, 0.7500, 0.6849], [0.5934, 0.7500, 0.3114], [0.6937, 0.0250, 0.8772], [0.6937, 0.4750, 0.8772], [0.7297, 0.0296, 0.5231], [0.7297, 0.4704, 0.5231], [0.8446, 0.0581, 0.2106], [0.8446, 0.4419, 0.2106], [0.9422, 0.7500, 0.0220]]
}

{
  "formula": "Ca2OsO5",
  "functional": "PBE",
  "state": "relaxed",
  "relative_energy_mev_per_atom": 486,
  "vol_a3_per_cell": 98.8,
  "total_energy_ev_per_atom": -6.51,
  "dos_ef_per_ev_cell": 4.9,
  "lattice_angstrom": [[0.0000, 3.6655, 5.9549], [2.2629, 0.0000, 5.9549], [2.2629, 3.6655, 0.0000]],
  "species": ["Ca", "Ca", "Os", "O", "O", "O", "O", "O"],
  "frac_coords": [[0.1738, 0.1738, 0.8262], [0.8262, 0.8262, 0.1738], [0.5000, 0.5000, 0.5000], [0.0000, 0.0000, 0.0000], [0.2092, 0.5415, 0.4585], [0.4585, 0.7908, 0.2092], [0.5415, 0.2092, 0.7908], [0.7908, 0.4585, 0.5415]]
}

{
  "formula": "CaOs2O6",
  "functional": "PBE",
  "state": "relaxed",
  "vol_a3_per_cell": 131.3,
  "total_energy_ev_per_atom": -7.42,
  "dos_ef_per_ev_cell": 5.7,
  "lattice_angstrom": [[2.7164, -4.6328, 0.0000], [2.7164, 4.6328, 0.0000], [-2.4461, 0.0000, 5.2172]],
  "species": ["Ca", "Os", "Os", "O", "O", "O", "O", "O", "O"],
  "frac_coords": [[0.0000, 0.0000, 0.0000], [0.3331, 0.6669, 0.5000], [0.6669, 0.3331, 0.5000], [0.0817, 0.7076, 0.6905], [0.2924, 0.9183, 0.3095], [0.4896, 0.4896, 0.2820], [0.5104, 0.5104, 0.7180], [0.7076, 0.0817, 0.6905], [0.9183, 0.2924, 0.3095]]
}

{
  "formula": "Ca2OsO6",
  "functional": "PBE",
  "state": "relaxed",
  "relative_energy_mev_per_atom": 0,
  "vol_a3_per_cell": 255.9,
  "total_energy_ev_per_atom": -6.89,
  "lattice_angstrom": [[5.0639, 0.0000, 0.0000], [0.0000, 5.0639, 0.0000], [0.0000, 0.0000, 9.9777]],
  "species": ["Ca", "Ca", "Ca", "Ca", "Os", "Os", "O", "O", "O", "O", "O", "O", "O", "O", "O", "O", "O", "O"],
  "frac_coords": [[0.0000, 0.0000, 0.1682], [0.0000, 0.0000, 0.8318], [0.5000, 0.5000, 0.3318], [0.5000, 0.5000, 0.6682], [0.0000, 0.0000, 0.5000], [0.5000, 0.5000, 0.0000], [0.1810, 0.1810, 0.3643], [0.1810, 0.1810, 0.6357], [0.2386, 0.2386, 0.0000], [0.2614, 0.7386, 0.5000], [0.3190, 0.6810, 0.1357], [0.3190, 0.6810, 0.8643], [0.6810, 0.3190, 0.1357], [0.6810, 0.3190, 0.8643], [0.7386, 0.2614, 0.5000], [0.7614, 0.7614, 0.0000], [0.8190, 0.8190, 0.3643], [0.8190, 0.8190, 0.6357]]
}

{
  "formula": "Ca3OsO6",
  "functional": "PBE",
  "state": "relaxed",
  "relative_energy_mev_per_atom": 16,
  "vol_a3_per_cell": 263.1,
  "total_energy_ev_per_atom": -6.97,
  "dos_ef_per_ev_cell": 10.4,
  "lattice_angstrom": [[5.5775, 0.0000, 0.0000], [0.0000, 5.8551, 0.0000], [-5.5666, 0.0000, 8.0568]],
  "species": ["Ca", "Ca", "Ca", "Ca", "Ca", "Ca", "Os", "Os", "O", "O", "O", "O", "O", "O", "O", "O", "O", "O", "O", "O"],
  "frac_coords": [[0.0000, 0.0000, 0.0000], [0.0000, 0.5000, 0.5000], [0.2633, 0.0598, 0.7453], [0.2633, 0.4402, 0.2453], [0.7367, 0.5598, 0.7547], [0.7367, 0.9402, 0.2547], [0.5000, 0.0000, 0.5000], [0.5000, 0.5000, 0.0000], [0.1589, 0.0512, 0.2745], [0.1589, 0.4488, 0.7745], [0.2705, 0.6787, 0.0537], [0.2705, 0.8213, 0.5537], [0.4014, 0.2236, 0.0700], [0.4014, 0.2764, 0.5700], [0.5986, 0.7236, 0.4300], [0.5986, 0.7764, 0.9300], [0.7295, 0.1787, 0.4463], [0.7295, 0.3213, 0.9463], [0.8411, 0.5512, 0.2255], [0.8411, 0.9488, 0.7255]]
}

{
  "formula": "Ca2OsO6",
  "functional": "PBE",
  "state": "relaxed",
  "relative_energy_mev_per_atom": 2,
  "vol_a3_per_cell": 261.1,
  "total_energy_ev_per_atom": -6.89,
  "lattice_angstrom": [[5.5231, 0.0000, 0.0000], [0.0000, 5.8792, 0.0000], [-4.7327, 0.0000, 8.0401]],
  "species": ["Ca", "Ca", "Ca", "Ca", "Os", "Os", "O", "O", "O", "O", "O", "O", "O", "O", "O", "O", "O", "O"],
  "frac_coords": [[0.1919, 0.0795, 0.2324], [0.1919, 0.4205, 0.7324], [0.8081, 0.5795, 0.2676], [0.8081, 0.9205, 0.7676], [0.5000, 0.0000, 0.0000], [0.5000, 0.5000, 0.5000], [0.1798, 0.1695, 0.9540], [0.1798, 0.3305, 0.4540], [0.2688, 0.7463, 0.8996], [0.2688, 0.7537, 0.3996], [0.4532, 0.0877, 0.7952], [0.4532, 0.4123, 0.2952], [0.5468, 0.5877, 0.7048], [0.5468, 0.9123, 0.2048], [0.7312, 0.2463, 0.6004], [0.7312, 0.2537, 0.1004], [0.8202, 0.6695, 0.5460], [0.8202, 0.8305, 0.0460]]
}

{
  "formula": "Ca4Os6O19",
  "functional": "PBE",
  "state": "relaxed",
  "vol_a3_per_cell": 381.7,
  "total_energy_ev_per_atom": -7.45,
  "dos_ef_per_ev_cell": 12.7,
  "lattice_angstrom": [[-4.5696, 4.5696, 4.5696], [4.5696, -4.5696, 4.5696], [4.5696, 4.5696, -4.5696]],
  "species": ["Ca", "Ca", "Ca", "Ca", "Os", "Os", "Os", "Os", "Os", "Os", "O", "O", "O", "O", "O", "O", "O", "O", "O", "O", "O", "O", "O", "O", "O", "O", "O", "O", "O"],
  "frac_coords": [[0.0000, 0.0000, 0.2821], [0.0000, 0.2821, 0.0000], [0.2821, 0.0000, 0.0000], [0.7179, 0.7179, 0.7179], [0.1369, 0.5000, 0.6369], [0.3631, 0.8631, 0.5000], [0.5000, 0.3631, 0.8631], [0.5000, 0.6369, 0.1369], [0.6369, 0.1369, 0.5000], [0.8631, 0.5000, 0.3631], [0.0000, 0.0000, 0.0000], [0.0000, 0.3279, 0.3279], [0.0000, 0.6721, 0.6721], [0.0632, 0.7213, 0.3589], [0.2787, 0.3419, 0.6376], [0.2956, 0.6581, 0.9368], [0.3279, 0.0000, 0.3279], [0.3279, 0.3279, 0.0000], [0.3419, 0.6376, 0.2787], [0.3589, 0.0632, 0.7213], [0.3624, 0.7044, 0.6411], [0.6376, 0.2787, 0.3419], [0.6411, 0.3624, 0.7044], [0.6581, 0.9368, 0.2956], [0.6721, 0.0000, 0.6721], [0.6721, 0.6721, 0.0000], [0.7044, 0.6411, 0.3624], [0.7213, 0.3589, 0.0632], [0.9368, 0.2956, 0.6581]]
}

{
  "formula": "Ca3OsO6",
  "functional": "PBE",
  "state": "relaxed",
  "relative_energy_mev_per_atom": 0,
  "vol_a3_per_cell": 283.7,
  "total_energy_ev_per_atom": -6.99,
  "dos_ef_per_ev_cell": 12.4,
  "lattice_angstrom": [[4.7225, 2.7266, 3.6723], [-4.7225, 2.7266, 3.6723], [0.0000, -5.4531, 3.6723]],
  "species": ["Ca", "Ca", "Ca", "Ca", "Ca", "Ca", "Os", "Os", "O", "O", "O", "O", "O", "O", "O", "O", "O", "O", "O", "O"],
  "frac_coords": [[0.0649, 0.5688, 0.7547], [0.2453, 0.9351, 0.4312], [0.4312, 0.2453, 0.9351], [0.5688, 0.7547, 0.0649], [0.7547, 0.0649, 0.5688], [0.9351, 0.4312, 0.2453], [0.0000, 0.0000, 0.0000], [0.5000, 0.5000, 0.5000], [0.0481, 0.9223, 0.7166], [0.0777, 0.2834, 0.9519], [0.2179, 0.5616, 0.4309], [0.2834, 0.9519, 0.0777], [0.4309, 0.2179, 0.5616], [0.4384, 0.5691, 0.7821], [0.5616, 0.4309, 0.2179], [0.5691, 0.7821, 0.4384], [0.7166, 0.0481, 0.9223], [0.7821, 0.4384, 0.5691], [0.9223, 0.7166, 0.0481], [0.9519, 0.0777, 0.2834]]
}

{
  "formula": "Ca3OsO4",
  "functional": "PBE",
  "state": "relaxed",
  "vol_a3_per_cell": 290.4,
  "total_energy_ev_per_atom": -6.53,
  "lattice_angstrom": [[7.0214, 0.0000, 0.0000], [0.0000, 7.1141, 0.0000], [0.0000, 0.0000, 5.8146]],
  "species": ["Ca", "Ca", "Ca", "Ca", "Ca", "Ca", "Os", "Os", "O", "O", "O", "O", "O", "O", "O", "O"],
  "frac_coords": [[0.0000, 0.1248, 0.0000], [0.2421, 0.3719, 0.4979], [0.2579, 0.6281, 0.9979], [0.5000, 0.8752, 0.5000], [0.7421, 0.6281, 0.9979], [0.7579, 0.3719, 0.4979], [0.0000, 0.7329, 0.5526], [0.5000, 0.2671, 0.0526], [0.0000, 0.2396, 0.3423], [0.0000, 0.8152, 0.8651], [0.2332, 0.6980, 0.3893], [0.2668, 0.3020, 0.8893], [0.5000, 0.1848, 0.3651], [0.5000, 0.7604, 0.8423], [0.7332, 0.3020, 0.8893], [0.7668, 0.6980, 0.3893]]
}

{
  "formula": "Ca2OsO5",
  "functional": "PBE",
  "state": "relaxed",
  "relative_energy_mev_per_atom": 0,
  "vol_a3_per_cell": 244.8,
  "total_energy_ev_per_atom": -6.99,
  "dos_ef_per_ev_cell": 9.1,
  "lattice_angstrom": [[1.9342, -5.8905, 0.0000], [1.9342, 5.8905, 0.0000], [0.0000, 0.0000, 10.7447]],
  "species": ["Ca", "Ca", "Ca", "Ca", "Os", "Os", "O", "O", "O", "O", "O", "O", "O", "O", "O", "O"],
  "frac_coords": [[0.1404, 0.8596, 0.5621], [0.1404, 0.8596, 0.9379], [0.8596, 0.1404, 0.0621], [0.8596, 0.1404, 0.4379], [0.1575, 0.8425, 0.2500], [0.8425, 0.1575, 0.7500], [0.0445, 0.9555, 0.1249], [0.0445, 0.9555, 0.3751], [0.2728, 0.7272, 0.1138], [0.2728, 0.7272, 0.3862], [0.3299, 0.6701, 0.7500], [0.6701, 0.3299, 0.2500], [0.7272, 0.2728, 0.6138], [0.7272, 0.2728, 0.8862], [0.9555, 0.0445, 0.6249], [0.9555, 0.0445, 0.8751]]
}

{
  "formula": "CaP2OsO",
  "functional": "PBE",
  "state": "relaxed",
  "relative_energy_mev_per_atom": 1777,
  "vol_a3_per_cell": 104.6,
  "total_energy_ev_per_atom": -4.39,
  "dos_ef_per_ev_cell": 5.9,
  "lattice_angstrom": [[5.1167, 0.0000, 0.0000], [0.0000, 5.1167, 0.0000], [0.0000, 0.0000, 3.9934]],
  "species": ["Ca", "P", "P", "Os", "O"],
  "frac_coords": [[0.0000, 0.0000, 0.0000], [0.0000, 0.5000, 0.0000], [0.5000, 0.0000, 0.0000], [0.5000, 0.5000, 0.5000], [0.0000, 0.0000, 0.5000]]
}